Record 1
{"formula": "Ce3Sn", "functional": "PBE", "state": "relaxed", "total_energy_ev_per_atom": -5.8248, "total_magnetization_mub_per_fu": 2.44, "cell": [[-3.888, -1.365, -2.317], [2.487, -3.375, -2.185], [-0.350, -0.729, 5.841]], "species": ["Sn", "Ce", "Ce", "Ce"], "fractional_positions": [[0.000, 0.000, 0.000], [0.750, 0.250, 0.500], [0.250, 0.750, 0.500], [0.500, 0.500, 0.000]]}

***

Record 2
{"formula": "Ce3Sn4", "functional": "PBE", "state": "relaxed", "total_energy_ev_per_atom": -5.4341, "total_magnetization_mub_per_fu": 2.52, "cell": [[4.482, 0.000, 0.000], [-2.241, 5.841, 0.000], [0.000, -0.001, 15.786]], "species": ["Ce", "Ce", "Ce", "Ce", "Ce", "Ce", "Sn", "Sn", "Sn", "Sn", "Sn", "Sn", "Sn", "Sn"], "fractional_positions": [[0.673, 0.346, 0.097], [0.329, 0.659, 0.904], [0.673, 0.346, 0.404], [0.329, 0.658, 0.597], [0.952, 0.903, 0.250], [0.051, 0.101, 0.750], [0.218, 0.437, 0.250], [0.784, 0.568, 0.750], [0.384, 0.768, 0.108], [0.001, 0.002, 0.000], [0.384, 0.768, 0.392], [0.618, 0.237, 0.893], [0.001, 0.002, 0.500], [0.618, 0.236, 0.608]]}

***

Record 3
{"formula": "Ce3Sn", "functional": "PBE", "state": "relaxed", "total_energy_ev_per_atom": -5.7812, "total_magnetization_mub_per_fu": 0.59, "cell": [[3.379, 0.000, 0.000], [0.000, 5.770, 0.000], [-1.690, -2.885, 5.509]], "species": ["Sn", "Ce", "Ce", "Ce"], "fractional_positions": [[0.000, 0.034, 0.000], [0.272, 0.577, 0.544], [0.500, 0.523, 0.000], [0.728, 0.033, 0.456]]}

***

no.,energy of formation (meV/atom),calculated volume (Å³/atom)
1,-374,27.14
2,-604,29.52
3,-330,26.85